The following is a DFT calculation (GGA-PBE) of a relaxed BaZnPt2 crystal.

The structure in POSCAR format:
```
BaZnPt2
1.0
0.0000 3.5239 3.5239
3.5239 0.0000 3.5239
3.5239 3.5239 0.0000
Zn Pt Ba
1 2 1
direct
0.5000 0.5000 0.5000 Zn
0.0000 0.0000 0.0000 Pt
0.7500 0.7500 0.7500 Pt
0.2500 0.2500 0.2500 Ba
```

Computed properties:
Raw total energy = -3.84 eV per atom
Space group = F-43m
Calculated volume = 21.9 A^3/atom

=====

The following is a DFT calculation (GGA-PBE) of a relaxed BaZrPt2 crystal.

The structure in POSCAR format:
```
BaZrPt2
1.0
2.5459 -2.6267 3.2530
0.8579 1.8045 4.4689
-2.2568 -1.9279 3.8928
Pt Ba Zr
2 1 1
direct
0.7500 0.7500 0.7500 Pt
0.0000 0.0000 0.0000 Pt
0.5000 0.5000 0.5000 Ba
0.2500 0.2500 0.2500 Zr
```

Computed properties:
Raw total energy = -5.79 eV per atom
Space group = F-43m
Calculated volume = 20.7 A^3/atom

=====

The following is a DFT calculation (GGA-PBE) of a relaxed BaPu crystal.

The structure in POSCAR format:
```
BaPu
1.0
-3.2499 2.0808 0.1508
1.1280 -1.5801 -3.3388
-3.4819 -5.5429 1.4469
Pu Ba
1 1
direct
0.3333 0.6667 0.2500 Pu
0.6667 0.3333 0.7500 Ba
```

Computed properties:
Space group = P-6m2
E above lowest polymorph = 0 meV/atom
Calculated volume = 43.3 A^3/atom

=====

Among the records above, which one has the lowest calculated volume?
BaZrPt2

=====

Copy entry 2 word for word.
The following is a DFT calculation (GGA-PBE) of a relaxed BaZrPt2 crystal.

The structure in POSCAR format:
```
BaZrPt2
1.0
2.5459 -2.6267 3.2530
0.8579 1.8045 4.4689
-2.2568 -1.9279 3.8928
Pt Ba Zr
2 1 1
direct
0.7500 0.7500 0.7500 Pt
0.0000 0.0000 0.0000 Pt
0.5000 0.5000 0.5000 Ba
0.2500 0.2500 0.2500 Zr
```

Computed properties:
Raw total energy = -5.79 eV per atom
Space group = F-43m
Calculated volume = 20.7 A^3/atom

=====

The lowest calculated volume belongs to which entry?
BaZrPt2